#i
## B2C (GGA-PBE)

Data for B2C after structural relaxation. Values from VASP.

Cell and atoms, written as Quantum ESPRESSO input:
```
&SYSTEM
  ibrav = 0, nat = 12, ntyp = 2
/
ATOMIC_SPECIES
B 10.81 B.upf
C 12.01 C.upf
CELL_PARAMETERS angstrom
-1.965 -2.293 -3.977
-0.867 -4.209 -2.545
-6.979 -3.200 1.071
ATOMIC_POSITIONS angstrom
B -2.767 -3.431 -2.466
B -3.433 -4.608 -3.529
B -2.733 -5.263 -4.941
B -7.078 -4.440 -0.509
B -6.378 -5.095 -1.922
B -7.044 -6.272 -2.985
B -7.075 -7.620 -4.764
B -2.736 -2.082 -0.686
C -3.253 -6.317 -5.952
C -6.558 -3.386 0.501
C -5.975 -6.626 -4.279
C -3.836 -3.076 -1.172
```

Results
N(E_F): 0.09 states/eV/atom
space-group type: C2/m, No. 12

=====

#ii
## B2C (GGA-PBE)

Data for B2C after structural relaxation. Values from VASP.

Cell and atoms, written as Quantum ESPRESSO input:
```
&SYSTEM
  ibrav = 0, nat = 12, ntyp = 2
/
ATOMIC_SPECIES
B 10.81 B.upf
C 12.01 C.upf
CELL_PARAMETERS angstrom
1.374 3.988 -0.252
-1.374 3.988 -0.252
0.000 2.632 8.321
ATOMIC_POSITIONS angstrom
B 0.000 7.728 1.293
B 0.000 1.662 2.739
B 0.000 1.302 0.957
B 0.000 2.586 -0.090
B 0.000 8.023 7.908
B 0.000 9.307 6.860
B 0.000 8.947 5.078
B 0.000 2.882 6.525
C 0.000 2.960 1.561
C 0.000 7.649 6.257
C 0.000 5.465 3.232
C 0.000 5.145 4.585
```

Results
N(E_F): 0.17 states/eV/atom
space-group type: C2/m, No. 12

=====

Which of them is the least stable? Correct choice: #i.